No. 1
# FeCuP2S PBE optimized geometry
data_FeCuP2S
_symmetry_space_group_name_H-M 'P 1'
_symmetry_Int_Tables_number 1
_cell_length_a 4.123
_cell_length_b 4.123
_cell_length_c 5.107
_cell_angle_alpha 90.00
_cell_angle_beta 90.00
_cell_angle_gamma 90.00
loop_
_symmetry_equiv_pos_as_xyz
'x,y,z'
loop_
_atom_site_label
_atom_site_type_symbol
_atom_site_fract_x
_atom_site_fract_y
_atom_site_fract_z
Fe1 Fe 0.000 0.000 0.000
Cu1 Cu 0.500 0.500 0.500
P1 P 0.000 0.500 0.000
P2 P 0.500 0.000 0.000
S1 S 0.000 0.000 0.500
# formation energy without anion corrections	0.60	eV per atom
# energy above the most stable polymorph in this dataset	0	meV per atom
# electronic total energy	-4.90	eV per atom
# calculated density	4.081	g/cm3

***

No. 2
# Ba2AgS2I2 PBE optimized geometry
data_Ba2AgS2I2
_symmetry_space_group_name_H-M 'P 1'
_symmetry_Int_Tables_number 1
_cell_length_a 4.988
_cell_length_b 4.988
_cell_length_c 18.532
_cell_angle_alpha 90.00
_cell_angle_beta 90.00
_cell_angle_gamma 90.00
loop_
_symmetry_equiv_pos_as_xyz
'x,y,z'
loop_
_atom_site_label
_atom_site_type_symbol
_atom_site_fract_x
_atom_site_fract_y
_atom_site_fract_z
Ba1 Ba 0.000 0.000 0.113
Ba2 Ba 0.000 0.000 0.887
Ba3 Ba 0.500 0.500 0.387
Ba4 Ba 0.500 0.500 0.613
Ag1 Ag 0.000 0.000 0.500
Ag2 Ag 0.500 0.500 0.000
S1 S 0.000 0.500 0.000
S2 S 0.000 0.500 0.500
S3 S 0.500 0.000 0.000
S4 S 0.500 0.000 0.500
I1 I 0.000 0.000 0.315
I2 I 0.000 0.000 0.685
I3 I 0.500 0.500 0.185
I4 I 0.500 0.500 0.815
# formation energy without anion corrections	-1.39	eV per atom
# electronic total energy	-3.97	eV per atom
# calculated density	5.044	g/cm3

***

- Among the records above, which one has the lowest calculated density?
  FeCuP2S

***

- calculated density of number 2 (Ba2AgS2I2)?
  5.044 g/cm3

***

- Which value of calculated density does entry 2 give?
  5.044 g/cm3

***

- formation energy without anion corrections of number 2 (Ba2AgS2I2)?
  -1.39 eV per atom